(1)
DFT (PBE-GGA) results for crystalline Al2Cd3Ag8 at its relaxed geometry.

a = 5.5017 Å, b = 5.5017 Å, c = 10.4531 Å
α = 74.74°, β = 74.74°, γ = 60.00°
Atoms (fractional coordinates):
Ag 0.7344 0.2319 0.2992
Ag 0.7344 0.7344 0.2992
Ag 0.7681 0.2656 0.7008
Ag 0.2775 0.2775 0.1676
Cd 0.8172 0.8172 0.5485
Ag 0.7225 0.7225 0.8324
Ag 0.2656 0.7681 0.7008
Al 0.6385 0.6385 0.0844
Ag 0.2656 0.2656 0.7008
Ag 0.2319 0.7344 0.2992
Cd 0.1828 0.1828 0.4515
Al 0.3615 0.3615 0.9156
Cd 0.0000 0.0000 0.0000

## Properties
Distance to the lowest polymorph of the same formula: 51 meV/atom
DFT formation energy: 83 meV/atom
M_tot: 0.0 Bohr magnetons per cell

---

(2)
DFT (PBE-GGA) results for crystalline AlCd3Ag2 at its relaxed geometry.

a = 2.9734 Å, b = 7.3884 Å, c = 13.6404 Å
α = 62.04°, β = 83.74°, γ = 78.39°
Atoms (fractional coordinates):
Cd 0.2275 0.1679 0.3770
Al 0.4395 0.4424 0.6786
Ag 0.4080 0.7222 0.4617
Ag 0.5920 0.2778 0.5383
Cd 0.6646 0.7215 0.9493
Cd 0.3354 0.2785 0.0507
Ag 0.1292 0.5883 0.1533
Cd 0.7725 0.8321 0.6230
Cd 0.1022 0.0390 0.7566
Cd 0.8978 0.9610 0.2434
Al 0.5605 0.5576 0.3214
Ag 0.8708 0.4117 0.8467

## Properties
DFT formation energy: 55 meV/atom
M_tot: 0.0 Bohr magnetons per cell

---

(3)
DFT (PBE-GGA) results for crystalline AlCdAg2 at its relaxed geometry.

a = 4.9240 Å, b = 4.9240 Å, c = 4.9240 Å
α = 127.72°, β = 127.72°, γ = 77.08°
Atoms (fractional coordinates):
Ag 0.5000 0.5000 0.0000
Cd 0.7500 0.2500 0.5000
Ag 0.0000 0.0000 0.0000
Al 0.2500 0.7500 0.5000

## Properties
DFT formation energy: 8 meV/atom
M_tot: 0.0 Bohr magnetons per cell